Entry 1:
This record from Alexandria describes a relaxed structure of PrGeS. The functional is PBE.

Calculated values
crystal system	trigonal
ρ	5244	kg/m³
total magnetic moment	0.00	μB per formula unit
formation energy from raw total energies	-26.77	kcal/mol of atoms

Geometry as CIF:
```
data_PrGeS
_cell_length_a 4.4556
_cell_length_b 4.4556
_cell_length_c 27.1430
_cell_angle_alpha 90.00
_cell_angle_beta 90.00
_cell_angle_gamma 120.00
_symmetry_space_group_name_H-M 'R -3 m'
_symmetry_Int_Tables_number 166
_symmetry_space_group_name_Hall '-R 3 2"'
loop_
_atom_site_label
_atom_site_type_symbol
_atom_site_fract_x
_atom_site_fract_y
_atom_site_fract_z
Pr1 Pr 0.0000 0.0000 0.0931
Ge1 Ge 0.0000 0.0000 0.3489
S1 S 0.0000 0.0000 0.2043
```

Entry 2:
This record from Alexandria describes a relaxed structure of LaPr2ReO8. The functional is PBE.

Calculated values
crystal system	orthorhombic
ρ	6259	kg/m³
total magnetic moment	0.00	μB per formula unit
formation energy from raw total energies	-61.84	kcal/mol of atoms

Geometry as CIF:
```
data_LaPr2ReO8
_cell_length_a 7.383
_cell_length_b 7.410
_cell_length_c 7.127
_cell_angle_alpha 90.00
_cell_angle_beta 90.00
_cell_angle_gamma 90.00
_symmetry_space_group_name_H-M 'C m m m'
_symmetry_Int_Tables_number 65
_symmetry_space_group_name_Hall '-C 2 2'
loop_
_atom_site_label
_atom_site_type_symbol
_atom_site_fract_x
_atom_site_fract_y
_atom_site_fract_z
La1 La 0.000 0.000 0.000
Pr1 Pr 0.000 0.500 0.254
Re1 Re 0.000 0.000 0.500
O1 O 0.000 0.177 0.304
O2 O 0.191 0.500 0.000
O3 O 0.244 0.500 0.500
```